Compound: CdAsN2O
Source: the Alexandria database
Functional: PBE
Structure: optimized geometry

- Electronic total energy: -23.70 eV/cell
- Formation energy from raw total energies: 0.694 eV per atom
- V: 11.248 Å³ per atom

The structure in POSCAR format:
```
CdAsN2O
1.0
-0.116 -3.110 -2.194
0.861 -2.160 3.015
-3.777 -0.412 0.784
Cd N O As
1 2 1 1
direct
0.500 0.500 0.500
0.500 0.000 0.000
0.000 0.500 0.000
0.000 0.000 0.500
0.000 0.000 0.000
```

Compound: CdAsN2O
Source: the Alexandria database
Functional: PBE
Structure: optimized geometry

- Electronic total energy: -18.08 eV/cell
- Formation energy from raw total energies: 1.818 eV per atom
- V: 14.886 Å³ per atom

The structure in POSCAR format:
```
CdAsN2O
1.0
4.254 0.000 0.000
0.000 4.254 0.000
0.000 0.000 4.113
N Cd O As
2 1 1 1
direct
0.500 0.000 0.000
0.000 0.500 0.000
0.000 0.000 0.000
0.000 0.000 0.500
0.500 0.500 0.500
```

Compound: Pa2CdAs2N2
Source: the Alexandria database
Functional: PBE
Structure: optimized geometry

- Electronic total energy: -52.88 eV/cell
- Formation energy from raw total energies: -1.004 eV per atom
- V: 19.146 Å³ per atom

The structure in POSCAR format:
```
Pa2CdAs2N2
1.0
-3.300 -1.782 -1.102
-0.176 -5.550 2.569
-3.918 -0.280 5.254
Cd As Pa N
1 2 2 2
direct
0.000 0.000 0.000
0.567 0.211 0.655
0.433 0.789 0.345
0.191 0.365 0.252
0.809 0.635 0.748
0.778 0.348 0.097
0.222 0.652 0.903
```

Compound: CdAs2PbN
Source: the Alexandria database
Functional: PBE
Structure: optimized geometry

- Electronic total energy: -19.13 eV/cell
- Formation energy from raw total energies: 0.623 eV per atom
- V: 19.804 Å³ per atom

The structure in POSCAR format:
```
CdAs2PbN
1.0
4.610 0.000 0.000
0.000 4.659 0.000
0.000 0.000 4.610
N Pb As Cd
1 1 2 1
direct
0.000 0.000 0.000
0.500 0.500 0.500
0.500 0.000 0.000
0.000 0.000 0.500
0.000 0.500 0.000
```